3
Lattice="0.000 3.059 3.059 3.059 0.000 3.059 3.059 3.059 0.000" Properties=species:S:1:pos:R:3 comment="YPOs, optimized geometry, DFT PBE" formation_enthalpy_0k_ev_per_atom=-0.153 pbc="T T T"
Y 0.000 0.000 0.000
P 4.588 4.588 4.588
Os 3.059 3.059 3.059

6
Lattice="0.000 3.850 3.850 3.850 0.000 3.850 3.850 3.850 0.000" Properties=species:S:1:pos:R:3 comment="YPt2, optimized geometry, DFT PBE" formation_enthalpy_0k_ev_per_atom=-1.106 pbc="T T T"
Y 0.963 0.963 0.963
Y 6.738 6.738 6.738
Pt 3.850 1.925 1.925
Pt 1.925 3.850 1.925
Pt 1.925 1.925 3.850
Pt 3.850 3.850 3.850

4
Lattice="2.124 1.226 10.948 -2.124 1.226 10.948 0.000 -2.453 10.948" Properties=species:S:1:pos:R:3 comment="SrAc2Au, optimized geometry, DFT PBE" relative_energy_mev_per_atom=55 formation_enthalpy_0k_ev_per_atom=-0.309 pbc="T T T"
Sr 0.000 0.000 0.000
Ac 0.000 0.000 7.492
Ac 0.000 0.000 25.353
Au 0.000 0.000 16.422

18
Lattice="2.724 1.573 12.012 -2.724 1.573 12.012 0.000 -3.145 12.012" Properties=species:S:1:pos:R:3 comment="Er2MnZn12Cu3, optimized geometry, DFT PBE" formation_enthalpy_0k_ev_per_atom=0.007 pbc="T T T"
Er 0.000 0.000 5.231
Er 0.000 0.000 30.805
Mn 0.000 0.000 18.018
Zn 0.000 -1.644 10.092
Zn -1.424 0.822 10.092
Zn -1.361 -0.786 16.032
Zn -1.424 -0.822 25.943
Zn 0.000 -1.572 20.004
Zn -1.361 0.786 20.004
Zn 1.361 -0.786 16.032
Zn 0.000 1.572 16.032
Zn 1.424 0.822 10.092
Zn 1.361 0.786 20.004
Zn 1.424 -0.822 25.943
Zn 0.000 1.644 25.943
Cu -1.362 -0.786 12.012
Cu -1.362 0.786 24.024
Cu 0.000 1.573 12.012

10
Lattice="3.113 0.000 0.000 0.000 4.464 0.000 -1.529 0.000 11.017" Properties=species:S:1:pos:R:3 comment="Ti2Tc2W, optimized geometry, DFT PBE" relative_energy_mev_per_atom=0 formation_enthalpy_0k_ev_per_atom=-0.368 pbc="T T T"
Ti 0.002 1.116 1.081
Ti 0.015 1.116 5.422
Ti 1.569 3.348 5.595
Ti 1.582 3.348 9.936
Tc 0.019 3.348 7.709
Tc 0.026 1.116 9.894
Tc 1.558 3.348 1.123
Tc 1.565 1.116 3.308
W 0.009 3.348 3.256
W 1.575 1.116 7.762

5
Lattice="-1.931 1.931 6.442 1.931 -1.931 6.442 1.931 1.931 -6.442" Properties=species:S:1:pos:R:3 comment="ScGa2Ag2, optimized geometry, DFT PBE" relative_energy_mev_per_atom=116 formation_enthalpy_0k_ev_per_atom=-0.139 pbc="T T T"
Sc 0.000 0.000 0.000
Ga 1.931 0.000 3.221
Ga 0.000 1.931 3.221
Ag 0.000 0.000 5.104
Ag 0.000 0.000 7.780

4
Lattice="0.000 3.426 3.426 3.426 0.000 3.426 3.426 3.426 0.000" Properties=species:S:1:pos:R:3 comment="BaP2Ir, optimized geometry, DFT PBE" formation_enthalpy_0k_ev_per_atom=0.289 pbc="T T T"
Ba 0.000 0.000 0.000
P 1.713 1.713 1.713
P 5.139 5.139 5.139
Ir 3.426 3.426 3.426

5
Lattice="-2.576 2.576 2.576 2.576 -2.576 2.576 2.576 2.576 -2.576" Properties=species:S:1:pos:R:3 comment="InC4, optimized geometry, DFT PBE" relative_energy_mev_per_atom=2786 formation_enthalpy_0k_ev_per_atom=3.982 pbc="T T T"
In 0.000 0.000 0.000
C 1.288 1.288 -1.288
C 1.288 -1.288 1.288
C -1.288 1.288 1.288
C 1.288 1.288 1.288

4
Lattice="0.000 3.174 3.174 3.174 0.000 3.174 3.174 3.174 0.000" Properties=species:S:1:pos:R:3 comment="LiErNiRh, optimized geometry, DFT PBE" formation_enthalpy_0k_ev_per_atom=-0.367 pbc="T T T"
Li 0.000 0.000 0.000
Er 3.174 3.174 3.174
Ni 4.761 4.761 4.761
Rh 1.587 1.587 1.587

4
Lattice="1.660 0.958 10.550 -1.660 0.958 10.550 0.000 -1.917 10.550" Properties=species:S:1:pos:R:3 comment="Tm2ScTi, optimized geometry, DFT PBE" relative_energy_mev_per_atom=22 formation_enthalpy_0k_ev_per_atom=0.173 pbc="T T T"
Tm 0.000 0.000 0.000
Tm 0.000 0.000 5.591
Sc 0.000 0.000 23.888
Ti 0.000 0.000 18.633

5
Lattice="4.343 0.000 0.000 0.000 4.343 0.000 0.000 0.000 4.343" Properties=species:S:1:pos:R:3 comment="FeTc3W, optimized geometry, DFT PBE" relative_energy_mev_per_atom=0 formation_enthalpy_0k_ev_per_atom=1.357 pbc="T T T"
Fe 0.000 0.000 0.000
Tc 0.000 0.000 2.171
Tc 0.000 2.171 0.000
Tc 2.171 0.000 0.000
W 2.171 2.171 2.171

6
Lattice="1.604 -5.855 0.000 1.604 5.855 0.000 0.000 0.000 6.241" Properties=species:S:1:pos:R:3 comment="NdZrH, optimized geometry, DFT PBE" e_tot_ev_per_atom=-5.63 pbc="T T T"
Nd 1.604 3.162 4.681
Nd 1.604 -3.162 1.560
Zr 1.604 0.000 0.000
Zr 1.604 0.000 3.121
H 1.604 5.570 4.681
H 1.604 -5.570 1.560

It is found that the total magnetic moment values, taken in the order of the records, are 0.31; 0.00; 0.00; 1.10; 0.00; 0.00; 0.00; 0.00; 0.00; 0.48; 0.00; 0.00 μB per cell.